Below is MgIn2Cu6 after structural relaxation, with properties calculated at the PBE level.

Properties
As for the space group: Fm-3m (225). As for the formation enthalpy at 0 K: 2.2 eV/f.u. The value obtained for the uncorrected energy is -29.5 eV per cell.

POSCAR file:
```
MgIn2Cu6
1.0
5.147 0.000 2.971
1.716 4.852 2.971
0.000 0.000 5.943
Cu In Mg
6 2 1
Direct
0.292 0.292 0.708
0.292 0.708 0.708
0.292 0.708 0.292
0.708 0.292 0.292
0.708 0.292 0.708
0.708 0.708 0.292
0.250 0.250 0.250
0.750 0.750 0.750
0.000 0.000 0.000
```